1.
The following is a GGA-PBE calculation of CsTe2 after structural relaxation, from Alexandria via LeMat-Bulk.

Cell: 5.231 5.487 6.177 Å, 99.97 110.75 94.05°
Positions (direct):
Cs (0.000, 0.000, 0.000)
Te (0.262, 0.614, 0.506)
Te (0.741, 0.386, 0.494)

Calculated values
E: -2.968 eV/atom
Total magnetization: 0.0 μB per cell
Formation energy from raw total energies: -0.59 eV per atom

2.
The following is a GGA-PBE calculation of Li2CdSn4 after structural relaxation, from Alexandria via LeMat-Bulk.

Cell: 6.852 6.852 9.575 Å, 90.00 90.00 54.91°
Positions (direct):
Li (0.138, 0.138, 0.000)
Li (0.362, 0.362, 0.500)
Li (0.638, 0.638, 0.500)
Li (0.862, 0.862, 0.000)
Cd (0.000, 0.000, 0.500)
Cd (0.500, 0.500, 0.000)
Sn (0.003, 0.497, 0.250)
Sn (0.246, 0.754, 0.751)
Sn (0.254, 0.746, 0.251)
Sn (0.497, 0.003, 0.750)
Sn (0.503, 0.997, 0.250)
Sn (0.746, 0.254, 0.749)
Sn (0.754, 0.246, 0.249)
Sn (0.997, 0.503, 0.750)

Calculated values
E: -3.025 eV/atom
Total magnetization: 0.0 μB per cell
Formation energy from the elements: -0.4 eV/f.u.

3.
The following is a GGA-PBE calculation of Ce3Te4 after structural relaxation, from Alexandria via LeMat-Bulk.

Cell: 8.248 8.248 8.248 Å, 109.47 109.47 109.47°
Positions (direct):
Ce (0.125, 0.875, 0.250)
Ce (0.250, 0.125, 0.875)
Ce (0.375, 0.625, 0.750)
Ce (0.625, 0.750, 0.375)
Ce (0.750, 0.375, 0.625)
Ce (0.875, 0.250, 0.125)
Te (0.000, 0.153, 0.500)
Te (0.000, 0.653, 0.500)
Te (0.153, 0.500, 0.000)
Te (0.347, 0.347, 0.347)
Te (0.500, 0.000, 0.153)
Te (0.500, 0.000, 0.653)
Te (0.653, 0.500, 0.000)
Te (0.847, 0.847, 0.847)

Calculated values
E: -5.735 eV/atom
Total magnetization: 8.0 μB per cell
Formation energy from raw total energies: -1.40 eV per atom